# YHoNi2 PBE relaxed
data_YHoNi2
_cell_length_a 5.415
_cell_length_b 4.166
_cell_length_c 7.041
_cell_angle_alpha 90.00
_cell_angle_beta 90.27
_cell_angle_gamma 90.00
_symmetry_space_group_name_H-M 'P 1 21/m 1'
_symmetry_Int_Tables_number 11
loop_
_symmetry_equiv_pos_as_xyz
'x,y,z'
'-x,-y,-z'
'-x,y+1/2,-z'
'x,-y+1/2,z'
loop_
_atom_site_label
_atom_site_type_symbol
_atom_site_fract_x
_atom_site_fract_y
_atom_site_fract_z
_atom_site_occupancy
Y1 Y 0.131 0.250 0.180 1
Ho1 Ho 0.369 0.250 0.680 1
Ni1 Ni 0.125 0.750 0.463 1
Ni2 Ni 0.376 0.750 0.962 1
# - DFT total energy (eV per atom) = -6.004
# - formation energy (meV per atom) = -459
# - magnetization (μB per formula unit) = 0.00

# LuMgTcW PBE relaxed
data_LuMgTcW
_cell_length_a 6.594
_cell_length_b 6.594
_cell_length_c 6.594
_cell_angle_alpha 90.00
_cell_angle_beta 90.00
_cell_angle_gamma 90.00
_symmetry_space_group_name_H-M 'F -4 3 m'
_symmetry_Int_Tables_number 216
_symmetry_space_group_name_Hall 'F -4 2 3'
loop_
_atom_site_label
_atom_site_type_symbol
_atom_site_fract_x
_atom_site_fract_y
_atom_site_fract_z
_atom_site_occupancy
Lu1 Lu 0.000 0.000 0.000 1
Mg1 Mg 0.250 0.250 0.750 1
Tc1 Tc 0.250 0.250 0.250 1
W1 W 0.000 0.000 0.500 1
# - energy above the most stable polymorph in this dataset (meV/atom) = 0
# - DFT total energy (eV per atom) = -7.138
# - magnetization (μB per formula unit) = 0.00

# HfSbNO PBE relaxed
data_HfSbNO
_cell_length_a 3.323
_cell_length_b 7.038
_cell_length_c 6.854
_cell_angle_alpha 90.00
_cell_angle_beta 90.00
_cell_angle_gamma 90.00
_symmetry_space_group_name_H-M 'P m c 21'
_symmetry_Int_Tables_number 26
loop_
_symmetry_equiv_pos_as_xyz
'x,y,z'
'-x,-y,z+1/2'
'-x,y,z'
'x,-y,z+1/2'
loop_
_atom_site_label
_atom_site_type_symbol
_atom_site_fract_x
_atom_site_fract_y
_atom_site_fract_z
_atom_site_occupancy
Hf1 Hf 0.000 0.126 0.000 1
Sb1 Sb 0.500 0.250 0.528 1
N1 N 0.000 0.112 0.691 1
O1 O 0.500 0.266 0.053 1
# - energy above the most stable polymorph in this dataset (meV/atom) = 208
# - DFT total energy (eV per atom) = -8.104
# - magnetization (μB per formula unit) = 0.00

# Y2ZrPt2 PBE relaxed
data_Y2ZrPt2
_cell_length_a 4.110
_cell_length_b 4.110
_cell_length_c 14.174
_cell_angle_alpha 90.00
_cell_angle_beta 90.00
_cell_angle_gamma 90.00
_symmetry_space_group_name_H-M 'I 4/m m m'
_symmetry_Int_Tables_number 139
_symmetry_space_group_name_Hall '-I 4 2'
loop_
_atom_site_label
_atom_site_type_symbol
_atom_site_fract_x
_atom_site_fract_y
_atom_site_fract_z
_atom_site_occupancy
Y1 Y 0.000 0.000 0.117 1
Zr1 Zr 0.000 0.000 0.500 1
Pt1 Pt 0.000 0.500 0.250 1
# - DFT total energy (eV per atom) = -6.946
# - formation energy (meV per atom) = -228
# - magnetization (μB per formula unit) = 1.33

# LiFeSiBi PBE relaxed
data_LiFeSiBi
_cell_length_a 6.266
_cell_length_b 6.266
_cell_length_c 6.266
_cell_angle_alpha 90.00
_cell_angle_beta 90.00
_cell_angle_gamma 90.00
_symmetry_space_group_name_H-M 'F -4 3 m'
_symmetry_Int_Tables_number 216
_symmetry_space_group_name_Hall 'F -4 2 3'
loop_
_atom_site_label
_atom_site_type_symbol
_atom_site_fract_x
_atom_site_fract_y
_atom_site_fract_z
_atom_site_occupancy
Li1 Li 0.000 0.000 0.000 1
Fe1 Fe 0.000 0.000 0.500 1
Si1 Si 0.250 0.250 0.750 1
Bi1 Bi 0.250 0.250 0.250 1
# - energy above the most stable polymorph in this dataset (meV/atom) = 0
# - DFT total energy (eV per atom) = -4.692
# - magnetization (μB per formula unit) = 0.03

# ZnNiMo4C2 PBE relaxed
data_ZnNiMo4C2
_cell_length_a 3.0590
_cell_length_b 3.0590
_cell_length_c 12.9258
_cell_angle_alpha 90.00
_cell_angle_beta 90.00
_cell_angle_gamma 120.00
_symmetry_space_group_name_H-M 'P -6 m 2'
_symmetry_Int_Tables_number 187
_symmetry_space_group_name_Hall 'P -6 2'
loop_
_atom_site_label
_atom_site_type_symbol
_atom_site_fract_x
_atom_site_fract_y
_atom_site_fract_z
_atom_site_occupancy
Zn1 Zn 0.0000 0.0000 0.0000 1
Ni1 Ni 0.6667 0.3333 0.5000 1
Mo1 Mo 0.0000 0.0000 0.3484 1
Mo2 Mo 0.6667 0.3333 0.1705 1
C1 C 0.3333 0.6667 0.2581 1
# - DFT total energy (eV per atom) = -8.538
# - magnetization (μB per formula unit) = 0.05

# YHgOs PBE relaxed
data_YHgOs
_cell_length_a 6.684
_cell_length_b 6.684
_cell_length_c 6.684
_cell_angle_alpha 90.00
_cell_angle_beta 90.00
_cell_angle_gamma 90.00
_symmetry_space_group_name_H-M 'F -4 3 m'
_symmetry_Int_Tables_number 216
_symmetry_space_group_name_Hall 'F -4 2 3'
loop_
_atom_site_label
_atom_site_type_symbol
_atom_site_fract_x
_atom_site_fract_y
_atom_site_fract_z
_atom_site_occupancy
Y1 Y 0.000 0.000 0.000 1
Hg1 Hg 0.250 0.250 0.750 1
Os1 Os 0.250 0.250 0.250 1
# - energy above the most stable polymorph in this dataset (meV/atom) = 433
# - DFT total energy (eV per atom) = -5.169
# - formation energy (meV per atom) = 827
# - magnetization (μB per formula unit) = 0.07

# SrTcIr PBE relaxed
data_SrTcIr
_cell_length_a 6.484
_cell_length_b 6.484
_cell_length_c 6.484
_cell_angle_alpha 90.00
_cell_angle_beta 90.00
_cell_angle_gamma 90.00
_symmetry_space_group_name_H-M 'F -4 3 m'
_symmetry_Int_Tables_number 216
_symmetry_space_group_name_Hall 'F -4 2 3'
loop_
_atom_site_label
_atom_site_type_symbol
_atom_site_fract_x
_atom_site_fract_y
_atom_site_fract_z
_atom_site_occupancy
Sr1 Sr 0.000 0.000 0.000 1
Tc1 Tc 0.000 0.000 0.500 1
Ir1 Ir 0.250 0.250 0.250 1
# - energy above the most stable polymorph in this dataset (meV/atom) = 0
# - DFT total energy (eV per atom) = -6.104
# - magnetization (μB per formula unit) = 0.82

# MgScCoSn PBE relaxed
data_MgScCoSn
_cell_length_a 6.642
_cell_length_b 6.642
_cell_length_c 6.642
_cell_angle_alpha 90.00
_cell_angle_beta 90.00
_cell_angle_gamma 90.00
_symmetry_space_group_name_H-M 'F -4 3 m'
_symmetry_Int_Tables_number 216
_symmetry_space_group_name_Hall 'F -4 2 3'
loop_
_atom_site_label
_atom_site_type_symbol
_atom_site_fract_x
_atom_site_fract_y
_atom_site_fract_z
_atom_site_occupancy
Mg1 Mg 0.000 0.000 0.000 1
Sc1 Sc 0.000 0.000 0.500 1
Co1 Co 0.250 0.250 0.750 1
Sn1 Sn 0.250 0.250 0.250 1
# - energy above the most stable polymorph in this dataset (meV/atom) = 81
# - DFT total energy (eV per atom) = -4.910
# - magnetization (μB per formula unit) = 0.87

# KHgGe PBE relaxed
data_KHgGe
_cell_length_a 7.499
_cell_length_b 7.499
_cell_length_c 7.499
_cell_angle_alpha 90.00
_cell_angle_beta 90.00
_cell_angle_gamma 90.00
_symmetry_space_group_name_H-M 'F -4 3 m'
_symmetry_Int_Tables_number 216
_symmetry_space_group_name_Hall 'F -4 2 3'
loop_
_atom_site_label
_atom_site_type_symbol
_atom_site_fract_x
_atom_site_fract_y
_atom_site_fract_z
_atom_site_occupancy
K1 K 0.000 0.000 0.000 1
Hg1 Hg 0.250 0.250 0.250 1
Ge1 Ge 0.250 0.250 0.750 1
# - energy above the most stable polymorph in this dataset (meV/atom) = 392
# - DFT total energy (eV per atom) = -1.427

# LiZrCoBi PBE relaxed
data_LiZrCoBi
_cell_length_a 6.462
_cell_length_b 6.462
_cell_length_c 6.462
_cell_angle_alpha 90.00
_cell_angle_beta 90.00
_cell_angle_gamma 90.00
_symmetry_space_group_name_H-M 'F -4 3 m'
_symmetry_Int_Tables_number 216
_symmetry_space_group_name_Hall 'F -4 2 3'
loop_
_atom_site_label
_atom_site_type_symbol
_atom_site_fract_x
_atom_site_fract_y
_atom_site_fract_z
_atom_site_occupancy
Li1 Li 0.000 0.000 0.000 1
Zr1 Zr 0.250 0.250 0.750 1
Co1 Co 0.000 0.000 0.500 1
Bi1 Bi 0.250 0.250 0.250 1
# - energy above the most stable polymorph in this dataset (meV/atom) = 0
# - DFT total energy (eV per atom) = -5.524
# - magnetization (μB per formula unit) = 0.18

# Nb2Os3Pb2 PBE relaxed
data_Nb2Os3Pb2
_cell_length_a 4.5548
_cell_length_b 4.5548
_cell_length_c 22.0042
_cell_angle_alpha 90.00
_cell_angle_beta 90.00
_cell_angle_gamma 120.00
_symmetry_space_group_name_H-M 'R 3 m'
_symmetry_Int_Tables_number 160
_symmetry_space_group_name_Hall 'R 3 -2"'
loop_
_atom_site_label
_atom_site_type_symbol
_atom_site_fract_x
_atom_site_fract_y
_atom_site_fract_z
_atom_site_occupancy
Nb1 Nb 0.0000 0.0000 0.0000 1
Nb2 Nb 0.0000 0.0000 0.4933 1
Os1 Os 0.0000 0.0000 0.3692 1
Os2 Os 0.0000 0.0000 0.6217 1
Os3 Os 0.0000 0.0000 0.8752 1
Pb1 Pb 0.0000 0.0000 0.2361 1
Pb2 Pb 0.0000 0.0000 0.7520 1
# - DFT total energy (eV per atom) = -8.416
# - magnetization (μB per formula unit) = 0.01